UFe2PbO8: optimized geometry, PBE with a Hubbard U. Values from VASP.

Computed properties:
Final energy   -85.32 eV per cell
Fermi-level density of states   1.91 states/eV/f.u.
Magnetization   0.500 μB/atom
SG   C2/m

Geometry as Quantum ESPRESSO input:
```
&SYSTEM
  ibrav = 0, nat = 12, ntyp = 4
/
ATOMIC_SPECIES
U 238.03 U.upf
Fe 55.84 Fe.upf
Pb 207.20 Pb.upf
O 16.00 O.upf
CELL_PARAMETERS angstrom
3.342 -3.534 0.000
3.342 3.534 0.000
-0.011 0.000 6.473
ATOMIC_POSITIONS crystal
U 0.000 0.000 0.000
Fe 0.500 0.500 0.252
Fe 0.500 0.500 0.748
Pb 0.000 0.000 0.500
O 0.201 0.799 0.234
O 0.201 0.799 0.766
O 0.316 0.316 0.000
O 0.322 0.322 0.500
O 0.678 0.678 0.500
O 0.684 0.684 0.000
O 0.799 0.201 0.234
O 0.799 0.201 0.766
```